A:
DFT (PBE) results for an optimized crystal structure of La4AuBr5.

abc: 18.9189 4.1786 9.0741
angles: 90.00 102.18 90.00
Space group C2/m (No. 12)
Inequivalent atoms, fractional coordinates:
La 0.0050 0.0000 0.2322 x4
La 0.1677 0.5000 0.0691 x4
Au 0.0000 0.5000 0.0000 x2
Br 0.0000 0.5000 0.5000 x2
Br 0.1646 0.0000 0.8130 x4
Br 0.1701 0.0000 0.3199 x4

=====

B:
DFT (PBE) results for an optimized crystal structure of La4AuBr5.

abc: 20.6428 4.1810 7.9090
angles: 90.00 100.72 90.00
Space group C2/m (No. 12)
Inequivalent atoms, fractional coordinates:
La 0.0633 0.0000 0.3166 x4
La 0.1198 0.5000 0.7938 x4
Au 0.0000 0.5000 0.5000 x2
Br 0.0000 0.5000 0.0000 x2
Br 0.1710 0.0000 0.0805 x4
Br 0.1855 0.0000 0.5992 x4

=====

Stability check: which of them is least stable? B.

=====

A:
DFT (PBE) results for an optimized crystal structure of La2AuBr.

abc: 4.2779 4.2779 23.9772
angles: 90.00 90.00 120.00
Space group R3m (No. 160, hexagonal axes)
Inequivalent atoms, fractional coordinates:
La 0.0000 0.0000 0.0000 x3
La 0.0000 0.0000 0.1868 x3
Au 0.0000 0.0000 0.5925 x3
Br 0.0000 0.0000 0.7616 x3

=====

B:
DFT (PBE) results for an optimized crystal structure of La2AuBr.

abc: 3.6044 3.6275 8.4384
angles: 90.00 90.08 90.00
Space group P2/m (No. 10)
Inequivalent atoms, fractional coordinates:
La 0.0004 0.0000 0.2310 x2
Au 0.5000 0.5000 0.0000 x1
Br 0.5000 0.5000 0.5000 x1

=====

C:
DFT (PBE) results for an optimized crystal structure of La2AuBr.

abc: 4.3461 4.3461 6.3196
angles: 90.00 90.00 90.00
Space group P4/mmm (No. 123)
Inequivalent atoms, fractional coordinates:
La 0.0000 0.0000 0.0000 x1
La 0.5000 0.5000 0.5000 x1
Au 0.0000 0.0000 0.5000 x1
Br 0.5000 0.5000 0.0000 x1

=====

Stability check: which of them is least stable? B.

=====

A:
DFT (PBE) results for an optimized crystal structure of La2AuBr.

abc: 4.7416 3.9479 12.2351
angles: 90.00 90.00 90.00
Space group Amm2 (No. 38)
Inequivalent atoms, fractional coordinates:
La 0.0000 0.0000 0.0000 x2
La 0.5000 0.0000 0.2495 x2
Au 0.0000 0.0000 0.7425 x2
Br 0.5000 0.0000 0.5046 x2

=====

B:
DFT (PBE) results for an optimized crystal structure of La2AuBr.

abc: 4.3344 6.1330 9.0748
angles: 90.00 90.00 90.00
Space group Pmmn (No. 59, origin choice 2)
Inequivalent atoms, fractional coordinates:
La 0.2500 0.2500 0.0982 x2
La 0.2500 0.2500 0.6189 x2
Au 0.2500 0.7500 0.1447 x2
Br 0.2500 0.7500 0.6363 x2

=====

C:
DFT (PBE) results for an optimized crystal structure of La2AuBr.

abc: 4.0112 4.0112 30.5618
angles: 90.00 90.00 120.00
Space group R3m (No. 160, hexagonal axes)
Inequivalent atoms, fractional coordinates:
La 0.0000 0.0000 0.0000 x3
La 0.0000 0.0000 0.2332 x3
Au 0.0000 0.0000 0.7306 x3
Br 0.0000 0.0000 0.5001 x3

=====

Stability check: which of them is least stable? C.